Computed, not measured: a crystal of TlSb3Pb relaxed with PBEsol at the SCAN level of DFT.

The structure in CIF format:
```
data_TlSb3Pb
_chemical_formula_sum 'Tl1 Sb3 Pb1'
_space_group_name_H-M_alt 'P 1'
_space_group_IT_number 1
_space_group_name_Hall 'P 1'
_cell_length_a 5.724
_cell_length_b 5.724
_cell_length_c 5.724
_cell_angle_alpha 90.00
_cell_angle_beta 90.00
_cell_angle_gamma 90.00
loop_
_atom_site_label
_atom_site_type_symbol
_atom_site_fract_x
_atom_site_fract_y
_atom_site_fract_z
_atom_site_occupancy
Pb1 Pb 0.000 0.000 0.000 1
Sb1 Sb 0.000 0.500 0.000 1
Sb2 Sb 0.000 0.000 0.500 1
Sb3 Sb 0.500 0.000 0.000 1
Tl1 Tl 0.500 0.500 0.500 1
```

Properties
- calculated volume (Å³ per cell) = 187.52
- ΔE_f (raw) (kJ per mole of atoms) = 74.3
- VASP energy (eV per formula unit) = -256.1
- DOS(E_F) (states/eV/cell) = 4.71
- symmetry = Pm-3m



Computed, not measured: a crystal of SbPb2W relaxed with PBEsol at the SCAN level of DFT.

The structure in CIF format:
```
data_SbPb2W
_chemical_formula_sum 'Sb1 Pb2 W1'
_space_group_name_H-M_alt 'P 1'
_space_group_IT_number 1
_space_group_name_Hall 'P 1'
_cell_length_a 3.373
_cell_length_b 3.373
_cell_length_c 8.314
_cell_angle_alpha 90.00
_cell_angle_beta 90.00
_cell_angle_gamma 90.00
loop_
_atom_site_label
_atom_site_type_symbol
_atom_site_fract_x
_atom_site_fract_y
_atom_site_fract_z
_atom_site_occupancy
Pb1 Pb 0.000 0.000 0.956 1
Pb2 Pb 0.500 0.500 0.270 1
Sb1 Sb 0.000 0.000 0.553 1
W1 W 0.500 0.500 0.721 1
```

Properties
- calculated volume (Å³ per cell) = 94.60
- ΔE_f (raw) (kJ per mole of atoms) = 52.2
- VASP energy (eV per formula unit) = -256.3
- DOS(E_F) (states/eV/cell) = 2.46
- symmetry = P4mm



Computed, not measured: a crystal of SbPb2W relaxed with PBEsol at the SCAN level of DFT.

The structure in CIF format:
```
data_SbPb2W
_chemical_formula_sum 'Sb1 Pb2 W1'
_space_group_name_H-M_alt 'P 1'
_space_group_IT_number 1
_space_group_name_Hall 'P 1'
_cell_length_a 3.112
_cell_length_b 5.417
_cell_length_c 5.682
_cell_angle_alpha 90.00
_cell_angle_beta 95.43
_cell_angle_gamma 90.00
loop_
_atom_site_label
_atom_site_type_symbol
_atom_site_fract_x
_atom_site_fract_y
_atom_site_fract_z
_atom_site_occupancy
Pb1 Pb 0.791 0.000 0.740 1
Pb2 Pb 0.209 0.000 0.260 1
Sb1 Sb 0.500 0.500 0.000 1
W1 W 0.500 0.500 0.500 1
```

Properties
- calculated volume (Å³ per cell) = 95.37
- ΔE_f (raw) (kJ per mole of atoms) = 97.1
- VASP energy (eV per formula unit) = -254.5
- DOS(E_F) (states/eV/cell) = 3.40
- symmetry = P2/m



Which value of ΔE_f (raw) does entry 2 give? 52.2 kJ per mole of atoms



The highest VASP energy belongs to which entry? number 3



Look up the VASP energy of the third one. -254.5 eV per formula unit



Look up the ΔE_f (raw) of the first one. 74.3 kJ per mole of atoms